P) AlBr2 | PBE | relaxed

Size of the total moment, μB/cell: 0.0

a b c (Å): 3.4608 3.4608 29.9150
angles (deg): 90.00 90.00 90.00
With the nearest neighbours (Å) after each atom.
Space group I4_1/amd (No. 141, origin choice 2)
Asymmetric unit:
1 Al 0.0000 0.2500 0.3750  8 Br 2.95
2 Br 0.0000 0.2500 0.8199  4 Al 2.95, 1 Br 3.29

Q) AlBr2 | PBE | relaxed

Size of the total moment, μB/cell: 0.0

a b c (Å): 15.0759 3.4895 8.7894
angles (deg): 90.00 109.80 90.00
With the nearest neighbours (Å) after each atom.
Space group C2/m (No. 12)
Asymmetric unit:
1 Al 0.0045 0.0000 0.1486  4 Br 2.55, 1 Al 2.57
2 Br 0.1112 0.5000 0.8204  2 Al 2.55
3 Br 0.1257 0.5000 0.2984  2 Al 2.55

R) AlBr2 | PBE | relaxed

Size of the total moment, μB/cell: 1.8

a b c (Å): 3.6272 15.1619 3.5739
angles (deg): 90.00 90.00 90.00
With the nearest neighbours (Å) after each atom.
Space group Cmmm (No. 65)
Asymmetric unit:
1 Al 0.0000 0.0000 0.0000  4 Br 2.53
2 Br 0.0000 0.3833 0.0000  2 Al 2.53

Least stable structure: P)

P) AlBr2 | PBE | relaxed

Size of the total moment, μB/cell: 0.0

a b c (Å): 3.4611 3.4611 14.3584
angles (deg): 90.00 90.00 90.00
With the nearest neighbours (Å) after each atom.
Space group I4/mmm (No. 139)
Asymmetric unit:
1 Al 0.0000 0.0000 0.0000  8 Br 2.95
2 Br 0.0000 0.0000 0.3854  4 Al 2.95, 1 Br 3.29

Q) AlBr2 | PBE | relaxed

Size of the total moment, μB/cell: 0.0

a b c (Å): 3.9621 3.9621 7.0196
angles (deg): 90.00 90.00 120.00
With the nearest neighbours (Å) after each atom.
Space group P-3m1 (No. 164)
Asymmetric unit:
1 Al 0.0000 0.0000 0.0000  6 Br 2.74
2 Br 0.3333 0.6667 0.2158  3 Al 2.74

Least stable structure: P)

P) AlBr2 | PBE | relaxed

Size of the total moment, μB/cell: 0.0

a b c (Å): 5.8825 5.8825 5.5082
angles (deg): 90.00 90.00 120.00
With the nearest neighbours (Å) after each atom.
Space group P6_3/mmc (No. 194)
Asymmetric unit:
1 Al 0.3333 0.6667 0.2500  2 Br 2.75
2 Br 0.0000 0.0000 0.0000  2 Br 2.75
3 Br 0.3333 0.6667 0.7500  2 Al 2.75

Q) AlBr2 | PBE | relaxed

Size of the total moment, μB/cell: 0.0

a b c (Å): 6.8555 6.8555 6.8555
angles (deg): 90.00 90.00 90.00
With the nearest neighbours (Å) after each atom.
Space group Fm-3m (No. 225)
Asymmetric unit:
1 Al 0.0000 0.0000 0.0000  8 Br 2.97
2 Br 0.2500 0.2500 0.2500  4 Al 2.97

Least stable structure: P)

P) AlBr5 | PBE | relaxed

Size of the total moment, μB/cell: 0.3

a b c (Å): 6.7221 3.5532 14.7694
angles (deg): 90.00 90.00 90.00
With the nearest neighbours (Å) after each atom.
Space group Amm2 (No. 38)
Asymmetric unit:
1 Al 0.0000 0.0000 0.0000  4 Br 2.48
2 Br 0.0000 0.0000 0.3831  2 Al 2.48
3 Br 0.0000 0.0000 0.6169  2 Al 2.48
4 Br 0.5000 0.0000 0.1676  4 Br 2.97-3.07
5 Br 0.5000 0.0000 0.4983  4 Br 3.07
6 Br 0.5000 0.0000 0.8289  4 Br 2.97-3.07

Q) AlBr5 | PBE | relaxed

Size of the total moment, μB/cell: 0.9

a b c (Å): 17.3672 3.3358 10.2452
angles (deg): 90.00 121.26 90.00
With the nearest neighbours (Å) after each atom.
Space group Cm (No. 8)
Asymmetric unit:
1 Al 0.0000 0.0000 0.0000  6 Br 2.54-2.57
2 Br 0.0535 0.5000 0.2175  2 Al 2.54
3 Br 0.0775 0.5000 0.9137  2 Al 2.57
4 Br 0.3064 0.0000 0.2574  2 Br 2.81
5 Br 0.3712 0.0000 0.8647  2 Al 2.55
6 Br 0.4259 0.5000 0.4990  2 Br 2.81

R) AlBr5 | PBE | relaxed

Size of the total moment, μB/cell: 0.0

a b c (Å): 3.1964 3.1964 18.2670
angles (deg): 90.00 90.00 90.00
With the nearest neighbours (Å) after each atom.
Space group P4/mmm (No. 123)
Asymmetric unit:
1 Al 0.0000 0.0000 0.0000  8 Br 2.80
2 Br 0.0000 0.0000 0.2734  4 Br 3.20
3 Br 0.5000 0.5000 0.0902  4 Al 2.80
4 Br 0.5000 0.5000 0.5000  4 Br 3.20

Least stable structure: R)

P) Al3Br5 | PBE | relaxed

Size of the total moment, μB/cell: 0.0

a b c (Å): 9.1715 13.2863 3.7898
angles (deg): 90.00 90.00 90.00
With the nearest neighbours (Å) after each atom.
Space group Cmmm (No. 65)
Asymmetric unit:
1 Al 0.0000 0.0000 0.0000  4 Br 2.49
2 Al 0.0000 0.3232 0.5000  6 Br 3.02-3.13
3 Br 0.0000 0.5000 0.0000  4 Al 3.02
4 Br 0.1764 0.0000 0.5000  2 Al 2.49
5 Br 0.2500 0.2500 0.0000  4 Al 3.13

Q) Al3Br5 | PBE | relaxed

Size of the total moment, μB/cell: 0.0

a b c (Å): 7.9529 7.9529 7.8394
angles (deg): 90.00 90.00 120.00
With the nearest neighbours (Å) after each atom.
Space group P6_3/mcm (No. 193)
Asymmetric unit:
1 Al 0.0000 0.4138 0.2500  3 Br 2.68-2.87
2 Br 0.0000 0.2488 0.7500  3 Al 2.68-2.87
3 Br 0.3333 0.6667 0.0000  6 Al 3.10

Least stable structure: P)

P) Al3Br4 | PBE | relaxed

Size of the total moment, μB/cell: 0.0

a b c (Å): 3.3789 3.3789 32.8854
angles (deg): 90.00 90.00 90.00
With the nearest neighbours (Å) after each atom.
Space group I4/mmm (No. 139)
Asymmetric unit:
1 Al 0.0000 0.0000 0.0000  8 Br 2.91
2 Al 0.0000 0.0000 0.2761  4 Br 2.92, 4 Al 2.94
3 Br 0.0000 0.0000 0.1730  4 Al 2.92
4 Br 0.0000 0.0000 0.4494  4 Al 2.91

Q) Al3Br4 | PBE | relaxed

Size of the total moment, μB/cell: 0.0

a b c (Å): 6.3176 6.3176 5.2694
angles (deg): 90.00 90.00 120.00
With the nearest neighbours (Å) after each atom.
Space group P6/mmm (No. 191)
Asymmetric unit:
1 Al 0.0000 0.5000 0.0000  4 Al 3.16, 8 Br 3.20-3.43
2 Br 0.0000 0.0000 0.2520  2 Br 2.61-2.66
3 Br 0.3333 0.6667 0.5000  6 Al 3.20

Least stable structure: Q)

P) AlC2Br | PBE | relaxed

Size of the total moment, μB/cell: 0.0

a b c (Å): 4.9175 4.9175 10.1487
angles (deg): 90.00 90.00 90.00
With the nearest neighbours (Å) after each atom.
Space group I-42d (No. 122)
Asymmetric unit:
1 Al 0.0000 0.0000 0.0000  4 C 2.00
2 C 0.1919 0.2500 0.1250  2 Al 2.00
3 Br 0.0000 0.0000 0.5000  4 C 2.33

Q) AlC2Br | PBE | relaxed

Size of the total moment, μB/cell: 0.0

a b c (Å): 5.8368 5.8368 5.8368
angles (deg): 90.00 90.00 90.00
With the nearest neighbours (Å) after each atom.
Space group Fm-3m (No. 225)
Asymmetric unit:
1 Al 0.0000 0.0000 0.0000  8 C 2.53
2 C 0.2500 0.2500 0.2500  4 Br 2.53, 4 Al 2.53
3 Br 0.0000 0.0000 0.5000  8 C 2.53

Least stable structure: Q)

P) Al3CBr | PBE | relaxed

Size of the total moment, μB/cell: 0.0

a b c (Å): 4.4117 4.4117 4.4117
angles (deg): 90.00 90.00 90.00
With the nearest neighbours (Å) after each atom.
Space group Pm-3m (No. 221)
Asymmetric unit:
1 Al 0.0000 0.0000 0.5000  2 C 2.21
2 C 0.0000 0.0000 0.0000  6 Al 2.21
3 Br 0.5000 0.5000 0.5000  12 Al 3.12

Q) Al3CBr | PBE | relaxed

Size of the total moment, μB/cell: 2.0

a b c (Å): 5.5772 5.5772 5.5772
angles (deg): 90.00 90.00 90.00
With the nearest neighbours (Å) after each atom.
Space group Pm-3m (No. 221)
Asymmetric unit:
1 Al 0.0000 0.0000 0.5000  2 Br 2.79
2 C 0.5000 0.5000 0.5000  12 Al 3.94
3 Br 0.0000 0.0000 0.0000  6 Al 2.79

Least stable structure: Q)